[1]
VASP calculation (GGA-PBE) on a geometry-optimized NpSe3O9 structure.

Cell: 6.2351 8.4700 10.6888 Å, 93.78 73.04 68.40°
With the nearest neighbours (Å) after each atom.
Fractional coordinates of all 26 atoms:
Se  0.7613  0.6124  0.6646  3 O 1.70-1.81
Se  0.9813  0.9315  0.8840  2 O 1.68-1.70
Se  0.9618  0.1124  0.1646  3 O 1.70-1.81
Se  0.2031  0.4315  0.3840  2 O 1.68-1.70
Se  0.3354  0.7501  0.2284  2 O 1.69
Se  0.6860  0.2501  0.7284  2 O 1.69
O  0.0395  0.2545  0.0763  1 Se 1.70
O  0.4125  0.3673  0.8488  1 Se 1.69
O  0.8056  0.9171  0.3596  1 Np 1.81
O  0.6241  0.1458  0.6125  1 Se 1.69
O  0.6176  0.6458  0.1125  1 Se 1.69
O  0.3714  0.8673  0.3488  1 Se 1.69
O  0.7406  0.0136  0.8317  1 Se 1.68
O  0.6889  0.4434  0.6171  1 Se 1.74
O  0.0838  0.5333  0.5670  2 Se 1.81-1.89
O  0.1119  0.5687  0.1123  1 Np 1.80
O  0.3821  0.2264  0.3897  1 Se 1.70
O  0.8159  0.0333  0.0670  2 Se 1.81-1.89
O  0.0017  0.7264  0.8897  1 Se 1.70
O  0.6297  0.7545  0.5763  1 Se 1.70
O  0.9177  0.4171  0.8596  1 Np 1.81
O  0.2071  0.0687  0.6123  1 Np 1.80
O  0.4141  0.5136  0.3317  1 Se 1.68
O  0.2507  0.9434  0.1171  1 Se 1.74
Np  0.5049  0.9935  0.4857  2 O 1.80-1.81
Np  0.0159  0.4935  0.9857  2 O 1.80-1.81

Properties
Raw total energy: -6.56 eV per atom
Symmetry: Cc (9)
Theoretical density: 4.17 g/cm3
Formation energy from raw total energies: -1325 meV/atom

=====

[2]
VASP calculation (GGA-PBE) on a geometry-optimized Np2SeO11 structure.

Cell: 14.4608 9.5904 9.1380 Å, 39.56 37.70 41.06°
With the nearest neighbours (Å) after each atom.
Fractional coordinates of all 28 atoms:
O  0.1708  0.0801  0.1118  1 Np 1.98
O  0.1821  0.4542  0.3061  1 Se 1.65
O  0.4024  0.5825  0.4259  1 O 1.31
O  0.5289  0.3917  0.3912  1 O 1.31
O  0.0892  0.0825  0.9258  1 O 1.31
O  0.1166  0.1113  0.5241  1 Se 1.69
O  0.8828  0.8811  0.4859  1 Se 1.72
O  0.6176  0.8249  0.4431  1 Np 1.83
O  0.8149  0.8928  0.9381  1 Np 1.88
O  0.8530  0.0577  0.0423  1 Np 1.79
O  0.8542  0.3928  0.4381  1 Np 1.88
O  0.3767  0.1677  0.5851  1 Np 1.81
O  0.2501  0.3811  0.9859  1 Se 1.72
O  0.6144  0.3249  0.9431  1 Np 1.83
O  0.3705  0.6677  0.0851  1 Np 1.81
O  0.5469  0.5579  0.5422  1 Np 1.79
O  0.1883  0.8917  0.8910  1 O 1.31
O  0.7990  0.5593  0.7061  1 Se 1.65
O  0.4358  0.0595  0.2058  1 Se 1.65
O  0.5576  0.9541  0.8062  1 Se 1.65
O  0.7481  0.6113  0.0242  1 Se 1.69
O  0.1373  0.5801  0.6117  1 Np 1.98
Se  0.2493  0.2497  0.2593  4 O 1.65-1.72
Se  0.7418  0.7496  0.7594  4 O 1.65-1.72
Np  0.1514  0.7647  0.2702  2 O 1.81-1.98
Np  0.8358  0.2321  0.7611  3 O 1.79-1.88
Np  0.3136  0.2647  0.7703  2 O 1.81-1.98
Np  0.6710  0.7322  0.2611  3 O 1.79-1.88

Properties
Raw total energy: -7.53 eV per atom
Symmetry: Cc (9)
Theoretical density: 5.28 g/cm3
Formation energy from raw total energies: -1539 meV/atom

=====

[3]
VASP calculation (GGA-PBE) on a geometry-optimized Np2SeO9 structure.

Cell: 6.8651 7.0014 16.0518 Å, 90.93 90.00 90.00°
With the nearest neighbours (Å) after each atom.
Fractional coordinates of all 48 atoms:
Np  0.1834  0.7472  0.3958  2 O 1.83
Np  0.0421  0.7470  0.6560  3 O 1.84-1.89
Np  0.4579  0.7470  0.1560  3 O 1.84-1.89
Np  0.6834  0.2528  0.1042  2 O 1.83
Np  0.9579  0.2530  0.3440  3 O 1.84-1.89
Np  0.5421  0.2530  0.8440  3 O 1.84-1.89
Np  0.3166  0.7472  0.8958  2 O 1.83
Np  0.8166  0.2528  0.6042  2 O 1.83
O  0.2872  0.7522  0.2908  1 Np 1.83
O  0.6795  0.9559  0.5636  1 Se 1.66
O  0.2545  0.4056  0.4143  1 Se 1.69
O  0.5480  0.9858  0.8597  1 Np 1.89
O  0.0007  0.6962  0.9604  1 Se 1.67
O  0.2455  0.4056  0.9143  1 Se 1.69
O  0.8814  0.2634  0.8747  1 Se 1.67
O  0.4433  0.4781  0.1561  1 Np 1.89
O  0.8205  0.9559  0.0636  1 Se 1.66
O  0.9433  0.5219  0.3439  1 Np 1.89
O  0.7545  0.5944  0.0857  1 Se 1.69
O  0.6186  0.2634  0.3747  1 Se 1.67
O  0.4993  0.6962  0.4604  1 Se 1.67
O  0.7872  0.2478  0.2092  1 Np 1.83
O  0.1795  0.0441  0.9364  1 Se 1.66
O  0.3416  0.2215  0.7686  1 Np 1.84
O  0.9222  0.2601  0.4993  1 Np 1.83
O  0.6584  0.7785  0.2314  1 Np 1.84
O  0.3205  0.0441  0.4364  1 Se 1.66
O  0.9520  0.9858  0.3597  1 Np 1.89
O  0.5567  0.5219  0.8439  1 Np 1.89
O  0.7455  0.5944  0.5857  1 Se 1.69
O  0.5007  0.3038  0.5396  1 Se 1.67
O  0.7128  0.2478  0.7092  1 Np 1.83
O  0.4222  0.7399  0.0007  1 Np 1.83
O  0.8416  0.7785  0.7314  1 Np 1.84
O  0.4520  0.0142  0.1403  1 Np 1.89
O  0.1584  0.2215  0.2686  1 Np 1.84
O  0.9993  0.3038  0.0396  1 Se 1.67
O  0.2128  0.7522  0.7908  1 Np 1.83
O  0.3814  0.7366  0.6253  1 Se 1.67
O  0.1186  0.7366  0.1253  1 Se 1.67
O  0.0567  0.4781  0.6561  1 Np 1.89
O  0.0778  0.7399  0.5007  1 Np 1.83
O  0.0480  0.0142  0.6403  1 Np 1.89
O  0.5778  0.2601  0.9993  1 Np 1.83
Se  0.0662  0.2539  0.9419  4 O 1.66-1.69
Se  0.4338  0.2539  0.4419  4 O 1.66-1.69
Se  0.9338  0.7461  0.0581  4 O 1.66-1.69
Se  0.5662  0.7461  0.5581  4 O 1.66-1.69

Properties
Raw total energy: -8.08 eV per atom
Symmetry: P2_1/c (14)
Theoretical density: 6.00 g/cm3
Formation energy from raw total energies: -1916 meV/atom

=====

[4]
VASP calculation (GGA-PBE) on a geometry-optimized Np2Se3O structure.

Cell: 7.0426 7.0426 7.0426 Å, 67.60 67.60 67.60°
With the nearest neighbours (Å) after each atom.
Fractional coordinates of all 12 atoms:
Np  0.8733  0.8733  0.8733  1 O 2.05
Np  0.6267  0.6267  0.6267  1 O 2.05
Np  0.1267  0.1267  0.1267  1 O 2.05
Np  0.3733  0.3733  0.3733  1 O 2.05
O  0.5000  0.5000  0.5000  2 Np 2.05
O  0.0000  0.0000  0.0000  2 Np 2.05
Se  0.7500  0.4742  0.0258  4 Np 2.94-2.95, 2 O 3.17
Se  0.0258  0.7500  0.4742  4 Np 2.94-2.95, 2 O 3.17
Se  0.5258  0.9742  0.2500  4 Np 2.94-2.95, 2 O 3.17
Se  0.9742  0.2500  0.5258  4 Np 2.94-2.95, 2 O 3.17
Se  0.4742  0.0258  0.7500  4 Np 2.94-2.95, 2 O 3.17
Se  0.2500  0.5258  0.9742  4 Np 2.94-2.95, 2 O 3.17

Properties
Raw total energy: -8.35 eV per atom
Symmetry: R-3c (167)
Theoretical density: 8.41 g/cm3
Formation energy from raw total energies: -1467 meV/atom

=====

[5]
VASP calculation (GGA-PBE) on a geometry-optimized NpSeO structure.

Cell: 4.2507 3.8394 3.8394 Å, 120.00 90.00 90.00°
With the nearest neighbours (Å) after each atom.
Fractional coordinates of all 3 atoms:
Se  0.6667  0.6667  0.3333  6 Np 3.07, 6 O 3.07
O  0.1668  0.3333  0.6667  3 Np 2.22
Np  0.1664  0.0000  0.0000  3 O 2.22

Properties
Excess energy over the best structure of this formula in the dataset: 105 meV per atom
Raw total energy: -9.18 eV per atom
Symmetry: P-6m2 (187)
Theoretical density: 10.16 g/cm3
Formation energy from raw total energies: -2053 meV/atom

=====

[6]
VASP calculation (GGA-PBE) on a geometry-optimized NpSeO structure.

Cell: 3.8688 3.8688 7.0245 Å, 90.00 90.00 90.00°
With the nearest neighbours (Å) after each atom.
Fractional coordinates of all 6 atoms:
Np  0.5000  0.0000  0.1804  4 O 2.31
Np  0.0000  0.5000  0.8196  4 O 2.31
O  0.5000  0.5000  0.0000  4 Np 2.31
O  0.0000  0.0000  0.0000  4 Np 2.31
Se  0.5000  0.0000  0.6298  5 Np 3.04-3.16, 4 O 3.24, 4 Se 3.29
Se  0.0000  0.5000  0.3702  5 Np 3.04-3.16, 4 O 3.24, 4 Se 3.29

Properties
Excess energy over the best structure of this formula in the dataset: 0 meV per atom
Raw total energy: -9.29 eV per atom
Symmetry: P4/nmm (129)
Theoretical density: 10.49 g/cm3
Formation energy from raw total energies: -2158 meV/atom

=====

[7]
VASP calculation (GGA-PBE) on a geometry-optimized NpSeO4 structure.

Cell: 6.0788 5.6186 7.8260 Å, 99.91 102.45 118.77°
With the nearest neighbours (Å) after each atom.
Fractional coordinates of all 12 atoms:
O  0.6030  0.2334  0.1227  1 Np 1.93
O  0.3397  0.1799  0.6845  1 Se 1.72
O  0.8448  0.5045  0.6845  1 Se 1.72
O  0.6603  0.8201  0.3155  1 Se 1.72
O  0.1552  0.4955  0.3155  1 Se 1.72
O  0.9803  0.1106  0.8773  1 Np 1.93
O  0.3970  0.7666  0.8773  1 Np 1.93
O  0.0197  0.8894  0.1227  1 Np 1.93
Se  0.5197  0.2697  0.5395  2 O 1.72
Se  0.4803  0.7303  0.4605  2 O 1.72
Np  0.8098  0.0598  0.1195  2 O 1.93
Np  0.1902  0.9402  0.8805  2 O 1.93

Properties
Raw total energy: -7.89 eV per atom
Symmetry: C2/c (15)
Theoretical density: 5.83 g/cm3
Formation energy from raw total energies: -1847 meV/atom

=====

[8]
VASP calculation (GGA-PBE) on a geometry-optimized Np2SeO structure.

Cell: 3.7059 3.7059 6.7044 Å, 73.96 73.96 60.00°
With the nearest neighbours (Å) after each atom.
Fractional coordinates of all 4 atoms:
Np  0.7327  0.7327  0.8018  3 O 2.48
Np  0.2673  0.2673  0.1982  3 O 2.48
Se  0.5000  0.5000  0.5000  6 Np 2.87
O  0.0000  0.0000  0.0000  6 Np 2.48

Properties
Excess energy over the best structure of this formula in the dataset: 0 meV per atom
Raw total energy: -10.15 eV per atom
Symmetry: R-3m (166)
Theoretical density: 12.50 g/cm3
Formation energy from raw total energies: -1572 meV/atom

=====

[9]
VASP calculation (GGA-PBE) on a geometry-optimized SmNpSeO2 structure.

Cell: 3.8769 3.8769 6.7497 Å, 106.69 106.69 90.00°
With the nearest neighbours (Å) after each atom.
Fractional coordinates of all 5 atoms:
Se  0.4987  0.4987  0.9974  4 Np 3.29, 4 Sm 3.31, 8 O 3.62-3.66
O  0.2504  0.7504  0.5008  2 Np 2.30, 2 Sm 2.30
O  0.7504  0.2504  0.5008  2 Np 2.30, 2 Sm 2.30
Sm  0.1496  0.1496  0.2993  4 O 2.30
Np  0.8509  0.8509  0.7017  4 O 2.30

Properties
Raw total energy: -8.83 eV per atom
Symmetry: I4mm (107)
Theoretical density: 8.93 g/cm3
Formation energy from raw total energies: -2621 meV/atom

=====

[10]
VASP calculation (GGA-PBE) on a geometry-optimized Sr2NpSe2O2 structure.

Cell: 4.3777 4.3777 8.9601 Å, 104.14 104.14 90.00°
With the nearest neighbours (Å) after each atom.
Fractional coordinates of all 7 atoms:
Se  0.8283  0.8283  0.6566  1 Np 2.89, 5 Sr 3.14-3.18
Se  0.1717  0.1717  0.3434  1 Np 2.89, 5 Sr 3.14-3.18
Sr  0.6395  0.6395  0.2790  5 Se 3.14-3.18, 4 O 3.21
Sr  0.3605  0.3605  0.7210  5 Se 3.14-3.18, 4 O 3.21
Np  0.0000  0.0000  0.0000  4 O 2.19
O  0.5000  0.0000  0.0000  2 Np 2.19
O  0.0000  0.5000  0.0000  2 Np 2.19

Properties
Raw total energy: -7.10 eV per atom
Symmetry: I4/mmm (139)
Theoretical density: 6.21 g/cm3
Formation energy from raw total energies: -2356 meV/atom

=====

[11]
VASP calculation (GGA-PBE) on a geometry-optimized SrNpSe2O8 structure.

Cell: 6.2442 6.2442 6.8560 Å, 90.00 90.00 120.00°
With the nearest neighbours (Å) after each atom.
Fractional coordinates of all 12 atoms:
O  0.1561  0.8591  0.6922  1 Se 2.01, 1 Np 2.08
O  0.8439  0.1409  0.3078  1 Se 2.01, 1 Np 2.08
O  0.3333  0.6667  0.9593  1 Se 1.64
O  0.2969  0.1561  0.3078  1 Se 2.01, 1 Np 2.08
O  0.7031  0.8439  0.6922  1 Se 2.01, 1 Np 2.08
O  0.1409  0.2969  0.6922  1 Se 2.01, 1 Np 2.08
O  0.6667  0.3333  0.0407  1 Se 1.64
O  0.8591  0.7031  0.3078  1 Se 2.01, 1 Np 2.08
Sr  0.0000  0.0000  0.0000  6 O 2.65
Np  0.0000  0.0000  0.5000  6 O 2.08
Se  0.6667  0.3333  0.2801  1 O 1.64
Se  0.3333  0.6667  0.7199  1 O 1.64

Properties
Raw total energy: -6.78 eV per atom
Symmetry: P-3 (147)
Theoretical density: 4.38 g/cm3
Formation energy from raw total energies: -1678 meV/atom

=====

[12]
VASP calculation (GGA-PBE) on a geometry-optimized TbNpSeO2 structure.

Cell: 3.8371 3.8371 6.6913 Å, 106.66 106.66 90.00°
With the nearest neighbours (Å) after each atom.
Fractional coordinates of all 5 atoms:
O  0.7520  0.2520  0.5040  2 Tb 2.25, 2 Np 2.31
O  0.2520  0.7520  0.5040  2 Tb 2.25, 2 Np 2.31
Tb  0.8478  0.8478  0.6956  4 O 2.25
Np  0.1474  0.1474  0.2948  4 O 2.31
Se  0.5008  0.5008  0.0016  4 Np 3.25, 4 Tb 3.30, 8 O 3.60-3.62

Properties
Raw total energy: -8.85 eV per atom
Symmetry: I4mm (107)
Theoretical density: 9.35 g/cm3
Formation energy from raw total energies: -2653 meV/atom

=====

- Which of these has the lowest raw total energy?
  Np2SeO